# NaLiEr2F8

An optimized crystal structure of NaLiEr2F8 (PBE, Alexandria).

Geometry as CIF:
```
data_NaLiEr2F8
_chemical_formula_sum 'Na2 Li2 Er4 F16'
_symmetry_space_group_name_H-M 'P 1'
_symmetry_Int_Tables_number 1
_symmetry_space_group_name_Hall 'P 1'
_cell_length_a 6.683
_cell_length_b 6.683
_cell_length_c 7.055
_cell_angle_alpha 90.00
_cell_angle_beta 90.00
_cell_angle_gamma 103.20
loop_
_atom_site_label
_atom_site_fract_x
_atom_site_fract_y
_atom_site_fract_z
Er1 0.076 0.450 0.250
Er2 0.450 0.076 0.250
Er3 0.550 0.924 0.750
Er4 0.924 0.550 0.750
F1 0.935 0.659 0.450
F2 0.935 0.659 0.050
F3 0.610 0.610 0.750
F4 0.913 0.913 0.750
F5 0.065 0.341 0.950
F6 0.341 0.065 0.550
F7 0.659 0.935 0.450
F8 0.065 0.341 0.550
F9 0.659 0.935 0.050
F10 0.305 0.746 0.250
F11 0.746 0.305 0.250
F12 0.254 0.695 0.750
F13 0.341 0.065 0.950
F14 0.695 0.254 0.750
F15 0.390 0.390 0.250
F16 0.087 0.087 0.250
Na1 0.342 0.342 0.750
Na2 0.658 0.658 0.250
Li1 0.000 0.000 0.500
Li2 0.000 0.000 0.000
```

# NaLiEr2F8

An optimized crystal structure of NaLiEr2F8 (PBE, Alexandria).

Geometry as CIF:
```
data_NaLiEr2F8
_chemical_formula_sum 'Na1 Li1 Er2 F8'
_symmetry_space_group_name_H-M 'P 1'
_symmetry_Int_Tables_number 1
_symmetry_space_group_name_Hall 'P 1'
_cell_length_a 3.787
_cell_length_b 5.429
_cell_length_c 7.515
_cell_angle_alpha 95.04
_cell_angle_beta 89.96
_cell_angle_gamma 90.46
loop_
_atom_site_label
_atom_site_fract_x
_atom_site_fract_y
_atom_site_fract_z
Li1 0.000 0.000 0.000
F1 0.004 0.782 0.776
F2 0.494 0.261 0.977
F3 0.003 0.684 0.263
F4 0.498 0.267 0.490
F5 0.502 0.733 0.510
F6 0.996 0.218 0.224
F7 0.506 0.739 0.023
F8 0.997 0.316 0.737
Na1 0.000 0.000 0.500
Er1 0.500 0.528 0.754
Er2 0.500 0.472 0.246
```

The calculation returns the following ρ values, one per record and in order: 5.6, 5.6 g/cm³.
The calculation returns the following E above lowest polymorph values, one per record and in order: 0, 37 meV/atom.
The calculation returns the following E_form (uncorrected) values, one per record and in order: -4343, -4300 kJ/mol of formula units.